1.
Zn2HgAu: single point on PBEsol structure, meta-GGA SCAN.

abc: 3.2930 3.5265 5.7420
angles: 90.00 90.00 90.00
Fractional coordinates of all 4 atoms:
Au 0.5000 0.5000 0.0000
Hg 0.5000 0.5000 0.5000
Zn 0.0000 0.0000 0.7688
Zn 0.0000 0.0000 0.2312

Properties
Calculated total energy in eV/f.u.: -164.47
SG: No. 47
Calculated volume in Å³ per atom: 16.67

---

2.
Zn2HgAu: single point on PBEsol structure, meta-GGA SCAN.

abc: 3.3824 3.6037 5.5113
angles: 90.00 90.00 90.00
Fractional coordinates of all 4 atoms:
Au 0.0000 0.0000 0.4672
Hg 0.5000 0.5000 0.7697
Zn 0.0000 0.0000 0.9996
Zn 0.5000 0.5000 0.2635

Properties
Calculated total energy in eV/f.u.: -164.60
SG: No. 25
Calculated volume in Å³ per atom: 16.79

---

3.
Zn2HgAu: single point on PBEsol structure, meta-GGA SCAN.

abc: 3.1138 4.5284 5.0170
angles: 90.00 95.66 90.00
Fractional coordinates of all 4 atoms:
Au 0.5000 0.5000 0.5000
Hg 0.0000 0.5000 0.0000
Zn 0.7592 0.0000 0.7346
Zn 0.2408 0.0000 0.2654

Properties
Calculated total energy in eV/f.u.: -164.29
SG: No. 10
Calculated volume in Å³ per atom: 17.60

---

4.
ZnHgAu2: single point on PBEsol structure, meta-GGA SCAN.

abc: 2.9618 2.9618 9.2576
angles: 80.79 80.79 60.00
Fractional coordinates of all 4 atoms:
Zn 0.0000 0.0000 0.0000
Au 0.2587 0.2587 0.2239
Au 0.7413 0.7413 0.7761
Hg 0.5000 0.5000 0.5000

Properties
Calculated total energy in eV/f.u.: -220.17
SG: No. 166
Calculated volume in Å³ per atom: 17.28